This record from Alexandria via LeMat-Bulk describes a geometry-optimized Zr5InSn structure. The functional is PBE.

a = 8.9131 Å, b = 13.0729 Å, c = 6.7402 Å
α = 90.00°, β = 122.44°, γ = 90.00°
Space group C2/c (No. 15)
Asymmetric unit:
Zr: 0.0000 0.2234 0.2500 x4
Zr: 0.1718 0.4312 0.5079 x8
Zr: 0.2011 0.1817 0.7877 x8
In: 0.0000 0.0000 0.0000 x4
Sn: 0.0000 0.3741 0.7500 x4

Output
energy	-7.190	eV/atom
E_form	-11.7	kJ/mol of atoms
total moment	0.0	μB/f.u.